Here is an optimized crystal structure of SnMoPd from Alexandria. Energies are from PBE.

Output
Uncorrected energy ... -6.52 eV/atom
ΔE_f ... 44 kJ/mol of formula units

Lattice parameters (Å, degrees): 13.158 2.978 2.978 65.81 90.00 90.00
Positions (direct):
Sn1 0.171 0.000 0.000
Sn2 0.829 0.000 0.000
Mo1 0.000 0.654 0.654
Mo2 0.500 0.010 0.010
Pd1 0.339 0.643 0.643
Pd2 0.661 0.643 0.643